# VHgOsBr2

A relaxed structure of VHgOsBr2 (PBE, the Alexandria database).

Summary:
Its uncorrected formation energy is 0.747 eV/atom. Its crystal system is tetragonal. Its symmetry is No. 123.

POSCAR file:
```
VHgOsBr2
1.0
5.165 0.000 0.000
0.000 5.165 0.000
0.000 0.000 4.860
V Hg Os Br
1 1 1 2
Direct
0.000 0.000 0.000 V
0.500 0.500 0.000 Hg
0.000 0.000 0.500 Os
0.000 0.500 0.500 Br
0.500 0.000 0.500 Br
```


# Ag2TeP

A relaxed structure of Ag2TeP (PBE, the Alexandria database).

Summary:
The calculation puts the energy above the most stable polymorph in this dataset at 0.24 eV per formula unit. Its uncorrected formation energy is 0.263 eV/atom. Its crystal system is orthorhombic. Its symmetry is No. 44.

POSCAR file:
```
Ag2TeP
1.0
-1.747 2.081 5.848
1.747 -2.081 5.848
1.747 2.081 -5.848
Ag Te P
2 1 1
Direct
0.000 0.000 0.000 Ag
0.670 0.170 0.500 Ag
0.374 0.374 0.000 Te
0.187 0.687 0.500 P
```


no.,DFT total energy (eV per atom),total magnetic moment (μB/cell)
1,-4.052,1.965
2,-3.301,0.000